# 1
A relaxed LaVPCl2 crystal, computed with PBE.

Values from the calculation:
Crystal system   tetragonal

Lattice parameters (Å, degrees): 5.4030 5.4030 5.7584 90.00 90.00 90.00
Fractional coordinates of all 5 atoms:
La 0.0000 0.0000 0.0000
V 0.5000 0.5000 0.5000
P 0.0000 0.0000 0.5000
Cl 0.0000 0.5000 0.0000
Cl 0.5000 0.0000 0.0000

# 2
A relaxed Sm2PuSe crystal, computed with PBE.

Values from the calculation:
Crystal system   trigonal

Lattice parameters (Å, degrees): 10.5873 10.5873 10.5873 20.50 20.50 20.50
Fractional coordinates of all 4 atoms:
Sm 0.1066 0.1066 0.1066
Sm 0.8934 0.8934 0.8934
Pu 0.0000 0.0000 0.0000
Se 0.5000 0.5000 0.5000

# 3
A relaxed Ta2TlIr crystal, computed with PBE.

Values from the calculation:
Crystal system   monoclinic
Formation energy   75 meV per atom

Lattice parameters (Å, degrees): 2.9363 4.0965 6.0105 90.00 90.56 90.00
Fractional coordinates of all 4 atoms:
Ta 0.0073 0.0000 0.2741
Ta 0.9927 0.0000 0.7259
Tl 0.5000 0.5000 0.0000
Ir 0.5000 0.5000 0.5000

# 4
A relaxed CaFe2Ni crystal, computed with PBE.

Values from the calculation:
Crystal system   trigonal
Formation energy   666 meV per atom

Lattice parameters (Å, degrees): 9.0950 9.0950 9.0950 17.31 17.31 17.31
Fractional coordinates of all 4 atoms:
Ca 0.0000 0.0000 0.0000
Fe 0.2392 0.2392 0.2392
Fe 0.7608 0.7608 0.7608
Ni 0.5000 0.5000 0.5000

# 5
A relaxed Cs2TlGa crystal, computed with PBE.

Values from the calculation:
Crystal system   monoclinic
Formation energy   -22 meV per atom

Lattice parameters (Å, degrees): 7.2525 7.2525 4.9658 109.49 109.49 58.45
Fractional coordinates of all 4 atoms:
Cs 0.1809 0.1809 0.1823
Cs 0.8191 0.8191 0.8177
Tl 0.5134 0.4866 0.0000
Ga 0.3586 0.6414 0.5000

# 6
A relaxed Y2InPb crystal, computed with PBE.

Values from the calculation:
Crystal system   cubic
Formation energy   18 meV per atom

Lattice parameters (Å, degrees): 5.5046 5.5046 5.5046 60.00 60.00 60.00
Fractional coordinates of all 4 atoms:
Y 0.0000 0.0000 0.0000
Y 0.2500 0.2500 0.2500
In 0.5000 0.5000 0.5000
Pb 0.7500 0.7500 0.7500

# 7
A relaxed CeThIrSe crystal, computed with PBE.

Values from the calculation:
Crystal system   trigonal

Lattice parameters (Å, degrees): 7.8219 7.8219 7.8219 30.09 30.09 30.09
Fractional coordinates of all 4 atoms:
Ce 0.0000 0.0000 0.0000
Th 0.1881 0.1881 0.1881
Ir 0.5951 0.5951 0.5951
Se 0.4249 0.4249 0.4249

# 8
A relaxed Ca2HfGe3Pt4 crystal, computed with PBE.

Values from the calculation:
Crystal system   tetragonal
Formation energy   -866 meV per atom

Lattice parameters (Å, degrees): 4.1725 4.1725 11.2757 90.00 90.00 90.00
Fractional coordinates of all 10 atoms:
Ca 0.0000 0.5000 0.2336
Ca 0.5000 0.0000 0.7664
Hf 0.0000 0.0000 0.5000
Ge 0.0000 0.5000 0.8677
Ge 0.5000 0.0000 0.1323
Ge 0.5000 0.5000 0.5000
Pt 0.0000 0.0000 0.0000
Pt 0.0000 0.5000 0.6479
Pt 0.5000 0.0000 0.3521
Pt 0.5000 0.5000 0.0000

# 9
A relaxed CaCd11Pt crystal, computed with PBE.

Values from the calculation:
Crystal system   monoclinic
Formation energy   -154 meV per atom

Lattice parameters (Å, degrees): 7.7435 7.7435 7.5181 98.00 98.00 135.78
Fractional coordinates of all 13 atoms:
Ca 0.0000 0.0000 0.0000
Cd 0.0000 0.5000 0.0000
Cd 0.0070 0.6663 0.6421
Cd 0.2780 0.4867 0.7860
Cd 0.3337 0.9930 0.3579
Cd 0.4867 0.2780 0.7860
Cd 0.5000 0.0000 0.0000
Cd 0.5000 0.5000 0.5000
Cd 0.5133 0.7220 0.2140
Cd 0.6663 0.0070 0.6421
Cd 0.7220 0.5133 0.2140
Cd 0.9930 0.3337 0.3579
Pt 0.0000 0.0000 0.5000

# 10
A relaxed Sr2AcCeN4 crystal, computed with PBE.

Values from the calculation:
Crystal system   monoclinic

Lattice parameters (Å, degrees): 6.3851 3.8481 6.3873 90.00 106.58 90.00
Fractional coordinates of all 8 atoms:
Sr 0.0000 0.0000 0.0000
Sr 0.0000 0.5000 0.5000
Ac 0.5000 0.0000 0.5000
Ce 0.5000 0.5000 0.0000
N 0.2747 0.0000 0.7616
N 0.2851 0.5000 0.2264
N 0.7149 0.5000 0.7736
N 0.7253 0.0000 0.2384

# 11
A relaxed Li2BeN crystal, computed with PBE.

Values from the calculation:
Crystal system   tetragonal

Lattice parameters (Å, degrees): 7.8870 7.8870 7.8870 158.22 158.22 30.99
Fractional coordinates of all 8 atoms:
Li 0.0668 0.1250 0.4418
Li 0.3750 0.9332 0.0582
Li 0.6832 0.6250 0.5582
Li 0.8750 0.3168 0.9418
Be 0.2500 0.7500 0.5000
Be 0.5000 0.5000 0.0000
N 0.0000 0.0000 0.0000
N 0.7500 0.2500 0.5000

# 12
A relaxed Sc2In2Pd7 crystal, computed with PBE.

Values from the calculation:
Crystal system   monoclinic
Formation energy   -524 meV per atom

Lattice parameters (Å, degrees): 6.6608 6.6608 4.7233 95.99 95.99 78.36
Fractional coordinates of all 11 atoms:
Sc 0.2245 0.2245 0.2716
Sc 0.7755 0.7755 0.7284
In 0.2885 0.7115 0.5000
In 0.7115 0.2885 0.5000
Pd 0.0631 0.0631 0.7717
Pd 0.1131 0.4633 0.7673
Pd 0.4633 0.1131 0.7673
Pd 0.5000 0.5000 0.0000
Pd 0.5367 0.8869 0.2327
Pd 0.8869 0.5367 0.2327
Pd 0.9369 0.9369 0.2283

# 13
A relaxed LaMg3W crystal, computed with PBE.

Values from the calculation:
Crystal system   cubic
Formation energy   2237 meV per atom

Lattice parameters (Å, degrees): 5.6996 5.6996 5.6996 90.00 90.00 90.00
Fractional coordinates of all 5 atoms:
La 0.0000 0.0000 0.0000
Mg 0.0000 0.0000 0.5000
Mg 0.0000 0.5000 0.0000
Mg 0.5000 0.0000 0.0000
W 0.5000 0.5000 0.5000

# 14
A relaxed Ta5Nb2 crystal, computed with PBE.

Values from the calculation:
Crystal system   tetragonal
Formation energy   -12 meV per atom

Lattice parameters (Å, degrees): 11.8910 11.8910 11.8910 164.01 164.01 22.69
Fractional coordinates of all 7 atoms:
Ta 0.0000 0.0000 0.0000
Ta 0.1432 0.1432 0.0000
Ta 0.4285 0.4285 0.0000
Ta 0.5715 0.5715 0.0000
Ta 0.8568 0.8568 0.0000
Nb 0.2855 0.2855 0.0000
Nb 0.7145 0.7145 0.0000

# 15
A relaxed Sr2PH crystal, computed with PBE.

Values from the calculation:
Crystal system   tetragonal

Lattice parameters (Å, degrees): 8.1503 8.1503 8.1503 137.12 137.12 62.25
Fractional coordinates of all 8 atoms:
Sr 0.0903 0.6250 0.9653
Sr 0.3750 0.3403 0.4653
Sr 0.6597 0.1250 0.0347
Sr 0.8750 0.9097 0.5347
P 0.2500 0.7500 0.5000
P 0.5000 0.5000 0.0000
H 0.0000 0.0000 0.0000
H 0.7500 0.2500 0.5000

# 16
A relaxed NaWIN2 crystal, computed with PBE.

Values from the calculation:
Crystal system   tetragonal

Lattice parameters (Å, degrees): 4.0007 4.0007 5.8616 90.00 90.00 90.00
Fractional coordinates of all 5 atoms:
Na 0.0000 0.0000 0.0000
W 0.5000 0.5000 0.5000
I 0.5000 0.5000 0.0000
N 0.0000 0.5000 0.5000
N 0.5000 0.0000 0.5000

# 17
A relaxed Sc6FeCo2 crystal, computed with PBE.

Values from the calculation:
Crystal system   monoclinic
Formation energy   -139 meV per atom

Lattice parameters (Å, degrees): 6.8383 6.8383 9.8393 125.49 125.49 28.23
Fractional coordinates of all 9 atoms:
Sc 0.0211 0.0211 0.1863
Sc 0.2738 0.2738 0.8825
Sc 0.3374 0.3374 0.4630
Sc 0.6626 0.6626 0.5370
Sc 0.7262 0.7262 0.1175
Sc 0.9789 0.9789 0.8137
Fe 0.0000 0.0000 0.5000
Co 0.4106 0.4106 0.2566
Co 0.5894 0.5894 0.7434

# 18
A relaxed MgTc2Ir crystal, computed with PBE.

Values from the calculation:
Crystal system   orthorhombic
Formation energy   148 meV per atom

Lattice parameters (Å, degrees): 2.7316 2.7316 9.0583 90.00 90.00 115.55
Fractional coordinates of all 4 atoms:
Mg 0.0000 0.0000 0.0000
Tc 0.0000 0.0000 0.4991
Tc 0.5000 0.5000 0.2627
Ir 0.5000 0.5000 0.7533

# 19
A relaxed BiSb3W crystal, computed with PBE.

Values from the calculation:
Crystal system   cubic

Lattice parameters (Å, degrees): 5.2828 5.2828 5.2828 90.00 90.00 90.00
Fractional coordinates of all 5 atoms:
Bi 0.0000 0.0000 0.0000
Sb 0.0000 0.5000 0.5000
Sb 0.5000 0.0000 0.5000
Sb 0.5000 0.5000 0.0000
W 0.5000 0.5000 0.5000

# 20
A relaxed Ca3La4Te8 crystal, computed with PBE.

Values from the calculation:
Crystal system   monoclinic

Lattice parameters (Å, degrees): 9.0899 9.0899 9.0912 119.87 119.87 90.07
Fractional coordinates of all 15 atoms:
Ca 0.0000 0.0000 0.0000
Ca 0.0000 0.5000 0.0000
Ca 0.5000 0.0000 0.0000
La 0.0000 0.0000 0.5000
La 0.0000 0.5000 0.5000
La 0.5000 0.0000 0.5000
La 0.5000 0.5000 0.0000
Te 0.2471 0.7529 0.0000
Te 0.2501 0.2501 0.0026
Te 0.2523 0.2523 0.4960
Te 0.2532 0.7468 0.5000
Te 0.7468 0.2532 0.5000
Te 0.7477 0.7477 0.5040
Te 0.7499 0.7499 0.9974
Te 0.7529 0.2471 0.0000

The calculation returns the following calculated total energy values, one per record and in order: -4.928; -7.259; -8.658; -5.511; -1.797; -4.826; -7.630; -6.063; -1.547; -6.749; -3.485; -5.477; -2.296; -11.355; -3.642; -6.399; -6.879; -7.649; -5.204; -4.985 eV/atom.
The calculation returns the following density of states at the Fermi level values, one per record and in order: 3.74; 11.79; 1.97; 4.23; 1.38; 6.50; 6.83; 6.71; 5.49; 3.65; 2.47; 4.43; 5.44; 10.48; 0.00; 1.06; 10.48; 3.11; 7.68; 5.22 states/eV per cell.